{
  "formula": "Co2OsPt",
  "functional": "PBE",
  "state": "optimized geometry",
  "lattice_angstrom": [[-3.2721, 3.2721, 2.6394], [3.2721, -3.2721, 2.6394], [3.2721, 3.2721, -2.6394]],
  "species": ["Co", "Co", "Co", "Co", "Os", "Os", "Pt", "Pt"],
  "fractional_positions": [[0.1010, 0.6250, 0.9760], [0.3750, 0.3510, 0.4760], [0.6490, 0.1250, 0.0240], [0.8750, 0.8990, 0.5240], [0.0000, 0.0000, 0.0000], [0.7500, 0.2500, 0.5000], [0.2500, 0.7500, 0.5000], [0.5000, 0.5000, 0.0000]],
  "formation_enthalpy_0k_kcal_per_mol_atoms": 14.971,
  "rho_g_cm3": 14.78
}